HfPNF2 | PBE | relaxed

```
HfPNF2
1.0
-1.266 3.897 0.146
-2.945 -1.056 2.650
2.692 0.751 3.290
F N P Hf
2 1 1 1
Cartesian
-1.472 -0.528 1.325
-0.633 1.949 0.073
1.346 0.375 1.645
-0.759 1.796 3.043
0.000 0.000 0.000
```

Computed properties:
distance to the lowest polymorph of the same formula = 0 meV/atom
D(E_F) = 2.08 states/eV per cell
space group = P4/mmm
size of the total moment = 1.45 μB/f.u.
E = -6.738 eV/atom
V = 14.5 Å³/atom

Ho2CuAu2 | PBE | relaxed

```
Ho2CuAu2
1.0
5.881 0.000 0.000
0.000 6.380 0.000
-2.940 -3.190 6.168
Au Ho Cu
4 4 2
Cartesian
2.940 4.802 1.472
0.000 -1.612 4.697
0.000 1.578 1.472
2.940 1.612 4.697
0.000 5.061 1.799
0.000 1.871 4.369
2.940 1.319 1.799
2.940 -1.871 4.369
1.470 3.190 0.000
4.411 3.190 0.000
```

Computed properties:
D(E_F) = 8.86 states/eV per cell
space group = Ibam
size of the total moment = 0.00 μB/f.u.
E = -4.548 eV/atom
ΔH_f (0 K) = -586 meV/atom
V = 23.1 Å³/atom

Sb3SI | PBE | relaxed

```
Sb3SI
1.0
-0.867 5.233 -2.227
-4.283 -2.083 -3.227
-3.741 1.172 4.210
Sb I S
3 1 1
Cartesian
-2.142 -1.041 -1.613
-0.433 2.617 -1.114
-1.871 0.586 2.105
0.000 0.000 0.000
-4.446 2.161 -0.622
```

Computed properties:
distance to the lowest polymorph of the same formula = 882 meV/atom
D(E_F) = 8.75 states/eV per cell
space group = Pm-3m
size of the total moment = 0.00 μB/f.u.
E = -2.171 eV/atom
V = 38.1 Å³/atom

Ce3Sm2Pt4 | PBE | relaxed

```
Ce3Sm2Pt4
1.0
7.497 -0.151 0.000
-2.607 7.633 0.000
0.000 0.000 7.699
Pt Sm Ce
8 4 6
Cartesian
1.449 3.746 2.818
3.441 3.737 4.881
-0.308 3.812 6.667
5.198 3.670 1.032
-1.205 7.026 3.523
2.544 6.951 0.326
6.095 0.456 4.176
2.347 0.531 7.372
3.760 1.362 2.477
1.130 6.120 5.222
4.879 6.045 6.326
0.012 1.437 1.373
3.706 5.696 2.601
1.184 1.786 5.097
-0.043 5.771 1.248
-1.303 3.816 3.849
2.445 3.741 0.000
4.933 1.711 6.451
```

Computed properties:
D(E_F) = 36.18 states/eV per cell
space group = P2_1/c
size of the total moment = 1.78 μB/f.u.
E = -6.725 eV/atom
ΔH_f (0 K) = -1014 meV/atom
V = 24.3 Å³/atom

Ba2NaPtN | PBE | relaxed

```
Ba2NaPtN
1.0
5.994 0.000 0.000
0.000 5.994 0.000
0.000 0.000 3.912
Ba N Pt Na
2 1 1 1
Cartesian
0.000 2.997 0.000
2.997 0.000 0.000
0.000 0.000 0.000
0.000 0.000 1.956
2.997 2.997 1.956
```

Computed properties:
D(E_F) = 2.36 states/eV per cell
space group = P4/mmm
size of the total moment = 0.00 μB/f.u.
E = -4.206 eV/atom
V = 28.1 Å³/atom

La5PmSm2Dy | PBE | relaxed

```
La5PmSm2Dy
1.0
9.120 0.000 0.000
0.000 9.120 0.000
-4.560 -4.560 7.733
La Sm Pm Dy
10 4 2 2
Cartesian
1.887 2.673 5.570
1.887 6.448 2.163
6.448 7.233 2.163
-1.887 -2.673 5.570
0.000 0.000 0.000
2.673 -1.887 5.570
4.560 4.560 0.000
7.233 2.673 2.163
2.673 1.887 2.163
-2.673 1.887 5.570
8.077 5.604 0.000
3.517 8.077 0.000
1.043 3.517 0.000
5.604 1.043 0.000
0.000 0.000 3.867
4.560 4.560 3.867
0.000 4.560 3.867
4.560 0.000 3.867
```

Computed properties:
D(E_F) = 33.82 states/eV per cell
space group = I4/mcm
size of the total moment = 0.00 μB/f.u.
E = -4.553 eV/atom
ΔH_f (0 K) = 272 meV/atom
V = 35.7 Å³/atom

What is the formula in the fifth record? Ba2NaPtN

Look up the size of the total moment of the fifth one. 0.00 μB/f.u.

Which value of D(E_F) does entry 5 give? 2.36 states/eV per cell